Compound: TePH
Source: Alexandria via LeMat-Bulk
Functional: PBE
Structure: relaxed

Cell: 4.4898 6.0132 9.1219 Å, 90.00 90.00 111.92°
Atoms (fractional coordinates):
Te: 0.8648 0.7296 0.3860
H: 0.3872 0.2744 0.2500
P: 0.6435 0.2870 0.3899
H: 0.1128 0.7256 0.7500
Te: 0.3648 0.7296 0.1140
P: 0.8565 0.7130 0.8899
H: 0.6128 0.7256 0.7500
P: 0.3565 0.7130 0.6101
H: 0.8872 0.2744 0.2500
Te: 0.1352 0.2704 0.6140
Te: 0.6352 0.2704 0.8860
P: 0.1435 0.2870 0.1101

## Properties
space group = No. 64
excess energy over the best structure of this formula in the dataset = 211.2 meV per atom